{"formula": "Ba5Tl4Zn", "functional": "PBE-GGA", "state": "optimized geometry", "lattice_angstrom": [[4.247, 0.000, 0.000], [0.000, 4.247, 0.000], [0.000, 0.000, 21.479]], "species": ["Ba", "Ba", "Ba", "Ba", "Ba", "Tl", "Tl", "Tl", "Tl", "Zn"], "fractional_positions": [[0.000, 0.000, 0.000], [0.000, 0.000, 0.203], [0.000, 0.000, 0.406], [0.000, 0.000, 0.594], [0.000, 0.000, 0.797], [0.500, 0.500, 0.102], [0.500, 0.500, 0.304], [0.500, 0.500, 0.696], [0.500, 0.500, 0.898], [0.500, 0.500, 0.500]]}

=====

{"formula": "Ba2Tl2Zn", "functional": "PBE-GGA", "state": "optimized geometry", "lattice_angstrom": [[6.332, -2.500, 0.000], [6.332, 2.500, 0.000], [-6.085, 0.000, 11.300]], "species": ["Ba", "Ba", "Ba", "Ba", "Tl", "Tl", "Tl", "Tl", "Zn", "Zn"], "fractional_positions": [[0.016, 0.016, 0.344], [0.190, 0.190, 0.111], [0.810, 0.810, 0.889], [0.984, 0.984, 0.656], [0.342, 0.342, 0.435], [0.482, 0.482, 0.122], [0.518, 0.518, 0.878], [0.658, 0.658, 0.565], [0.282, 0.282, 0.655], [0.718, 0.718, 0.345]], "polymorph_energy_ev_per_atom": 0.000}

=====

{"formula": "Ba2Tl7Zn", "functional": "PBE-GGA", "state": "optimized geometry", "lattice_angstrom": [[5.140, 0.000, 0.000], [0.000, 5.140, 0.000], [0.000, 0.000, 12.616]], "species": ["Ba", "Ba", "Tl", "Tl", "Tl", "Tl", "Tl", "Tl", "Tl", "Zn"], "fractional_positions": [[0.000, 0.500, 0.236], [0.500, 0.000, 0.764], [0.000, 0.000, 0.000], [0.000, 0.000, 0.500], [0.000, 0.500, 0.642], [0.000, 0.500, 0.878], [0.500, 0.000, 0.122], [0.500, 0.000, 0.358], [0.500, 0.500, 0.500], [0.500, 0.500, 0.000]]}

=====

{"formula": "BaTl2Zn2", "functional": "PBE-GGA", "state": "optimized geometry", "lattice_angstrom": [[-2.418, 2.418, 5.967], [2.418, -2.418, 5.967], [2.418, 2.418, -5.967]], "species": ["Ba", "Tl", "Tl", "Zn", "Zn"], "fractional_positions": [[0.000, 0.000, 0.000], [0.371, 0.371, 0.000], [0.629, 0.629, 0.000], [0.250, 0.750, 0.500], [0.750, 0.250, 0.500]], "polymorph_energy_ev_per_atom": 0.032}

=====

{"formula": "Ba2TlZn2", "functional": "PBE-GGA", "state": "optimized geometry", "lattice_angstrom": [[-2.049, 2.049, 10.184], [2.049, -2.049, 10.184], [2.049, 2.049, -10.184]], "species": ["Ba", "Ba", "Tl", "Zn", "Zn"], "fractional_positions": [[0.110, 0.110, 0.000], [0.890, 0.890, 0.000], [0.500, 0.500, 0.000], [0.250, 0.750, 0.500], [0.750, 0.250, 0.500]], "polymorph_energy_ev_per_atom": 0.107}

=====

{"formula": "BaTl4Zn", "functional": "PBE-GGA", "state": "optimized geometry", "lattice_angstrom": [[2.436, -9.381, 0.000], [2.436, 9.381, 0.000], [0.000, 0.000, 7.923]], "species": ["Ba", "Ba", "Tl", "Tl", "Tl", "Tl", "Tl", "Tl", "Tl", "Tl", "Zn", "Zn"], "fractional_positions": [[0.123, 0.877, 0.750], [0.877, 0.123, 0.250], [0.069, 0.931, 0.250], [0.319, 0.681, 0.548], [0.319, 0.681, 0.952], [0.500, 0.500, 0.000], [0.500, 0.500, 0.500], [0.681, 0.319, 0.048], [0.681, 0.319, 0.452], [0.931, 0.069, 0.750], [0.224, 0.776, 0.250], [0.776, 0.224, 0.750]], "polymorph_energy_ev_per_atom": 0.000}

=====

{"formula": "Ba2TlZn", "functional": "PBE-GGA", "state": "optimized geometry", "lattice_angstrom": [[6.720, -2.022, 0.000], [6.720, 2.022, 0.000], [-2.533, 0.000, 5.265]], "species": ["Ba", "Ba", "Tl", "Zn"], "fractional_positions": [[0.000, 0.000, 0.000], [0.192, 0.192, 0.691], [0.415, 0.415, 0.415], [0.742, 0.742, 0.240]], "polymorph_energy_ev_per_atom": 0.053}

=====

{"formula": "Ba2TlZn", "functional": "PBE-GGA", "state": "optimized geometry", "lattice_angstrom": [[4.184, 0.000, 0.000], [0.000, 4.184, 0.000], [0.000, 0.000, 8.495]], "species": ["Ba", "Ba", "Tl", "Zn"], "fractional_positions": [[0.000, 0.000, 0.240], [0.000, 0.000, 0.760], [0.500, 0.500, 0.500], [0.500, 0.500, 0.000]], "polymorph_energy_ev_per_atom": 0.000}

=====

{"formula": "Ba2TlZn", "functional": "PBE-GGA", "state": "optimized geometry", "lattice_angstrom": [[4.255, 0.000, 0.000], [0.000, 4.255, 0.000], [0.000, 0.000, 9.007]], "species": ["Ba", "Ba", "Tl", "Zn"], "fractional_positions": [[0.000, 0.000, 0.000], [0.500, 0.500, 0.400], [0.000, 0.000, 0.620], [0.500, 0.500, 0.800]], "polymorph_energy_ev_per_atom": 0.172}

=====

{"formula": "Ba4Tl3Zn", "functional": "PBE-GGA", "state": "optimized geometry", "lattice_angstrom": [[9.037, -3.007, 0.000], [9.037, 3.007, 0.000], [-1.993, 0.000, 5.675]], "species": ["Ba", "Ba", "Ba", "Ba", "Tl", "Tl", "Tl", "Zn"], "fractional_positions": [[0.122, 0.122, 0.122], [0.378, 0.378, 0.378], [0.622, 0.622, 0.622], [0.878, 0.878, 0.878], [0.000, 0.000, 0.500], [0.248, 0.248, 0.748], [0.752, 0.752, 0.252], [0.500, 0.500, 0.000]]}

=====

{"formula": "BaTlZn2", "functional": "PBE-GGA", "state": "optimized geometry", "lattice_angstrom": [[-2.221, 2.925, 4.455], [2.221, -2.925, 4.455], [2.221, 2.925, -4.455]], "species": ["Ba", "Tl", "Zn", "Zn"], "fractional_positions": [[0.000, 0.000, 0.000], [0.696, 0.196, 0.500], [0.291, 0.791, 0.500], [0.441, 0.441, 0.000]]}

=====

{"formula": "Ba3Tl2Zn", "functional": "PBE-GGA", "state": "optimized geometry", "lattice_angstrom": [[4.214, 0.000, 0.000], [0.000, 4.214, 0.000], [0.000, 0.000, 12.859]], "species": ["Ba", "Ba", "Ba", "Tl", "Tl", "Zn"], "fractional_positions": [[0.000, 0.000, 0.000], [0.000, 0.000, 0.342], [0.000, 0.000, 0.658], [0.500, 0.500, 0.169], [0.500, 0.500, 0.831], [0.500, 0.500, 0.500]]}

=====

Number 1: total magnetization 0.000 μB/atom, energy of formation from the pure elements -0.355 eV per atom. Number 2: total magnetization 0.000 μB/atom, energy of formation from the pure elements -0.306 eV per atom. Number 3: total magnetization 0.000 μB/atom, energy of formation from the pure elements -0.191 eV per atom. Number 4: total magnetization 0.000 μB/atom, energy of formation from the pure elements -0.187 eV per atom. Number 5: total magnetization 0.000 μB/atom, energy of formation from the pure elements -0.127 eV per atom. Number 6: total magnetization 0.000 μB/atom, energy of formation from the pure elements -0.196 eV per atom. Number 7: total magnetization 0.000 μB/atom, energy of formation from the pure elements -0.235 eV per atom. Number 8: total magnetization 0.000 μB/atom, energy of formation from the pure elements -0.288 eV per atom. Number 9: total magnetization 0.000 μB/atom, energy of formation from the pure elements -0.116 eV per atom. Number 10: total magnetization 0.000 μB/atom, energy of formation from the pure elements -0.344 eV per atom. Number 11: total magnetization 0.000 μB/atom, energy of formation from the pure elements -0.097 eV per atom. Number 12: total magnetization 0.000 μB/atom, energy of formation from the pure elements -0.321 eV per atom.